This record from the Alexandria database describes a relaxed structure of CaReIr. The functional is PBE.

```
CaReIr
1.0
4.5755 0.0000 0.0000
0.0000 4.5755 0.0000
0.0000 0.0000 6.4108
Ca Re Ir
2 2 2
direct
0.2500 0.2500 0.1418 Ca
0.7500 0.7500 0.8582 Ca
0.2500 0.7500 0.5000 Re
0.7500 0.2500 0.5000 Re
0.2500 0.2500 0.6570 Ir
0.7500 0.7500 0.3429 Ir
```

DOS(E_F): 4.10 states/eV per cell
SG: P4/nmm (129)
DFT total energy: -46.41 eV per cell
E above lowest polymorph: 179 meV/atom
crystal system: tetragonal
V: 22.37 Å³/atom
formation enthalpy at 0 K: 0.03 eV/atom